[1]
TiNbP: optimized geometry, PBE.

```
data_TiNbP
_cell_length_a 3.314
_cell_length_b 3.314
_cell_length_c 8.471
_cell_angle_alpha 90.00
_cell_angle_beta 90.00
_cell_angle_gamma 90.00
_space_group_name_H-M_alt 'I 4 m m'
_space_group_IT_number 107
_space_group_name_Hall 'I 4 -2'
loop_
_atom_site_label
_atom_site_type_symbol
_atom_site_fract_x
_atom_site_fract_y
_atom_site_fract_z
Ti1 Ti 0.000 0.000 0.000
Nb1 Nb 0.000 0.000 0.316
P1 P 0.000 0.000 0.660
```

Calculated values
DFT total energy   -50.373 eV for the cell shown
Size of the total moment   0.00 Bohr magnetons per cell
DOS at the Fermi energy   0.749 states/eV/atom

=====

[2]
Ti2NbP3: optimized geometry, PBE.

```
data_Ti2NbP3
_cell_length_a 3.355
_cell_length_b 9.565
_cell_length_c 5.914
_cell_angle_alpha 90.00
_cell_angle_beta 90.00
_cell_angle_gamma 90.00
_space_group_name_H-M_alt 'P m c 21'
_space_group_IT_number 26
loop_
_space_group_symop_operation_xyz
'x,y,z'
'-x,-y,z+1/2'
'-x,y,z'
'x,-y,z+1/2'
loop_
_atom_site_label
_atom_site_type_symbol
_atom_site_fract_x
_atom_site_fract_y
_atom_site_fract_z
Ti1 Ti 0.000 0.024 0.000
Ti2 Ti 0.500 0.294 0.988
Nb1 Nb 0.500 0.383 0.505
P1 P 0.000 0.214 0.703
P2 P 0.000 0.442 0.176
P3 P 0.500 0.121 0.286
```

Calculated values
DFT total energy   -95.468 eV for the cell shown
Size of the total moment   0.00 Bohr magnetons per cell
DOS at the Fermi energy   0.705 states/eV/atom

=====

[3]
Ti3Nb12P5: optimized geometry, PBE.

```
data_Ti3Nb12P5
_cell_length_a 14.954
_cell_length_b 14.954
_cell_length_c 14.954
_cell_angle_alpha 90.00
_cell_angle_beta 90.00
_cell_angle_gamma 90.00
_space_group_name_H-M_alt 'I a -3 d'
_space_group_IT_number 230
_space_group_name_Hall '-I 4bd 2c 3'
loop_
_atom_site_label
_atom_site_type_symbol
_atom_site_fract_x
_atom_site_fract_y
_atom_site_fract_z
Ti1 Ti 0.000 0.250 0.125
Nb1 Nb 0.014 0.070 0.654
P1 P 0.000 0.000 0.000
P2 P 0.000 0.250 0.375
```

Calculated values
DFT total energy   -1331.198 eV for the cell shown
Size of the total moment   0.00 Bohr magnetons per cell
DOS at the Fermi energy   0.862 states/eV/atom

=====

[4]
Ti4NbP2: optimized geometry, PBE.

```
data_Ti4NbP2
_cell_length_a 4.0105
_cell_length_b 4.0105
_cell_length_c 25.6807
_cell_angle_alpha 90.00
_cell_angle_beta 90.00
_cell_angle_gamma 120.00
_space_group_name_H-M_alt 'R -3 m'
_space_group_IT_number 166
_space_group_name_Hall '-R 3 2"'
loop_
_atom_site_label
_atom_site_type_symbol
_atom_site_fract_x
_atom_site_fract_y
_atom_site_fract_z
Ti1 Ti 0.0000 0.0000 0.1058
Ti2 Ti 0.0000 0.0000 0.3005
Nb1 Nb 0.0000 0.0000 0.5000
P1 P 0.0000 0.0000 0.3989
```

Calculated values
DFT total energy   -168.114 eV for the cell shown
Size of the total moment   0.00 Bohr magnetons per cell
DOS at the Fermi energy   0.718 states/eV/atom

=====

[5]
Ti3NbP: optimized geometry, PBE.

```
data_Ti3NbP
_cell_length_a 4.740
_cell_length_b 4.740
_cell_length_c 4.740
_cell_angle_alpha 90.00
_cell_angle_beta 90.00
_cell_angle_gamma 90.00
_space_group_name_H-M_alt 'P m -3 m'
_space_group_IT_number 221
_space_group_name_Hall '-P 4 2 3'
loop_
_atom_site_label
_atom_site_type_symbol
_atom_site_fract_x
_atom_site_fract_y
_atom_site_fract_z
Ti1 Ti 0.000 0.000 0.500
Nb1 Nb 0.000 0.000 0.000
P1 P 0.500 0.500 0.500
```

Calculated values
DFT total energy   -33.753 eV for the cell shown
Size of the total moment   2.26 Bohr magnetons per cell
DOS at the Fermi energy   1.373 states/eV/atom

=====

[6]
TiNb3P: optimized geometry, PBE.

```
data_TiNb3P
_cell_length_a 4.676
_cell_length_b 4.676
_cell_length_c 4.676
_cell_angle_alpha 90.00
_cell_angle_beta 90.00
_cell_angle_gamma 90.00
_space_group_name_H-M_alt 'P m -3 m'
_space_group_IT_number 221
_space_group_name_Hall '-P 4 2 3'
loop_
_atom_site_label
_atom_site_type_symbol
_atom_site_fract_x
_atom_site_fract_y
_atom_site_fract_z
Ti1 Ti 0.000 0.000 0.000
Nb1 Nb 0.000 0.000 0.500
P1 P 0.500 0.500 0.500
```

Calculated values
DFT total energy   -36.994 eV for the cell shown
Size of the total moment   0.00 Bohr magnetons per cell
DOS at the Fermi energy   1.393 states/eV/atom